Density functional theory data (PBE) for Sr2PrYSe4 after structural relaxation.

a = 4.260 Å, b = 7.385 Å, c = 7.543 Å
α = 109.00°, β = 90.00°, γ = 90.00°
Fractional positions:
Se 0.500 0.762 0.765
Se 0.500 0.238 0.235
Se 0.000 0.246 0.760
Se 0.000 0.754 0.240
Pr 0.500 0.500 0.000
Y 0.000 0.000 0.000
Sr 0.500 0.000 0.500
Sr 0.000 0.500 0.500

M_tot: 0.0 μB/f.u.
ΔE_f (raw): -1903 meV per atom
Crystal system: monoclinic
Space group: P2/m, No. 10
Electronic total energy: -5.472 eV/atom